The following is a DFT calculation (GGA-PBE) of crystalline AlNi3H at its relaxed geometry.

Properties
E: -4.94 eV/atom
volume: 10.38 A^3/atom
E above lowest polymorph: 0.3705 eV per atom

a = 5.713 Å, b = 5.713 Å, c = 5.713 Å
α = 131.01°, β = 131.01°, γ = 71.79°
Atoms (fractional coordinates):
1 Al 0.152 0.152 0.000
2 Al 0.848 0.848 0.000
3 Ni 0.119 0.619 0.500
4 Ni 0.128 0.380 0.747
5 Ni 0.381 0.881 0.500
6 Ni 0.620 0.367 0.747
7 Ni 0.620 0.872 0.253
8 Ni 0.633 0.380 0.253
9 H 0.500 0.500 0.000
10 H 0.750 0.250 0.500

The following is a DFT calculation (GGA-PBE) of crystalline AlNi3H at its relaxed geometry.

Properties
E: -5.18 eV/atom
volume: 9.59 A^3/atom
E above lowest polymorph: 0.1316 eV per atom

a = 6.483 Å, b = 4.534 Å, c = 6.649 Å
α = 90.00°, β = 101.17°, γ = 90.00°
Atoms (fractional coordinates):
1 Al 0.080 0.101 0.192
2 Al 0.080 0.399 0.692
3 Al 0.920 0.601 0.308
4 Al 0.920 0.899 0.808
5 Ni 0.179 0.597 0.063
6 Ni 0.179 0.903 0.563
7 Ni 0.303 0.080 0.934
8 Ni 0.303 0.420 0.434
9 Ni 0.440 0.588 0.813
10 Ni 0.440 0.912 0.313
11 Ni 0.560 0.088 0.687
12 Ni 0.560 0.412 0.187
13 Ni 0.697 0.580 0.566
14 Ni 0.697 0.920 0.066
15 Ni 0.821 0.097 0.437
16 Ni 0.821 0.403 0.937
17 H 0.437 0.739 0.068
18 H 0.437 0.761 0.568
19 H 0.563 0.239 0.432
20 H 0.563 0.261 0.932

The following is a DFT calculation (GGA-PBE) of crystalline AlNi3H at its relaxed geometry.

Properties
E: -4.76 eV/atom
volume: 12.99 A^3/atom
E above lowest polymorph: 0.5496 eV per atom

a = 6.513 Å, b = 6.513 Å, c = 4.417 Å
α = 90.00°, β = 90.00°, γ = 136.12°
Atoms (fractional coordinates):
1 Al 0.179 0.821 0.750
2 Al 0.821 0.179 0.250
3 Ni 0.000 0.000 0.000
4 Ni 0.000 0.000 0.500
5 Ni 0.090 0.398 0.750
6 Ni 0.398 0.090 0.250
7 Ni 0.602 0.910 0.750
8 Ni 0.910 0.602 0.250
9 H 0.428 0.572 0.750
10 H 0.572 0.428 0.250

The following is a DFT calculation (GGA-PBE) of crystalline AlNi3H at its relaxed geometry.

Properties
E: -3.57 eV/atom
volume: 15.94 A^3/atom
E above lowest polymorph: 1.7421 eV per atom

a = 4.303 Å, b = 4.303 Å, c = 4.303 Å
α = 90.00°, β = 90.00°, γ = 90.00°
Atoms (fractional coordinates):
1 Al 0.000 0.000 0.000
2 Ni 0.000 0.000 0.500
3 Ni 0.000 0.500 0.000
4 Ni 0.500 0.000 0.000
5 H 0.500 0.500 0.500

The following is a DFT calculation (GGA-PBE) of crystalline AlNi2H at its relaxed geometry.

Properties
E: -4.73 eV/atom
volume: 9.64 A^3/atom
E above lowest polymorph: 0.2062 eV per atom

a = 2.569 Å, b = 2.569 Å, c = 5.845 Å
α = 90.00°, β = 90.00°, γ = 90.00°
Atoms (fractional coordinates):
1 Al 0.000 0.000 0.000
2 Ni 0.500 0.500 0.294
3 Ni 0.500 0.500 0.706
4 H 0.000 0.000 0.500

The following is a DFT calculation (GGA-PBE) of crystalline AlNi3H at its relaxed geometry.

Properties
E: -5.31 eV/atom
volume: 9.45 A^3/atom
E above lowest polymorph: 0.0000 eV per atom

a = 3.615 Å, b = 3.615 Å, c = 3.615 Å
α = 90.00°, β = 90.00°, γ = 90.00°
Atoms (fractional coordinates):
1 Al 0.000 0.000 0.000
2 Ni 0.000 0.500 0.500
3 Ni 0.500 0.000 0.500
4 Ni 0.500 0.500 0.000
5 H 0.500 0.500 0.500

The following is a DFT calculation (GGA-PBE) of crystalline AlNi3H at its relaxed geometry.

Properties
E: -4.99 eV/atom
volume: 10.06 A^3/atom
E above lowest polymorph: 0.3225 eV per atom

a = 4.894 Å, b = 4.894 Å, c = 4.864 Å
α = 90.00°, β = 90.00°, γ = 120.28°
Atoms (fractional coordinates):
1 Al 0.061 0.939 0.750
2 Al 0.939 0.061 0.250
3 Ni 0.037 0.444 0.750
4 Ni 0.444 0.037 0.250
5 Ni 0.500 0.500 0.000
6 Ni 0.500 0.500 0.500
7 Ni 0.556 0.963 0.750
8 Ni 0.963 0.556 0.250
9 H 0.350 0.650 0.250
10 H 0.650 0.350 0.750

The following is a DFT calculation (GGA-PBE) of crystalline AlNi3H at its relaxed geometry.

Properties
E: -5.05 eV/atom
volume: 9.79 A^3/atom
E above lowest polymorph: 0.2586 eV per atom

a = 4.608 Å, b = 4.608 Å, c = 4.608 Å
α = 89.93°, β = 89.93°, γ = 89.93°
Atoms (fractional coordinates):
1 Al 0.000 0.000 0.000
2 Al 0.500 0.500 0.500
3 Ni 0.010 0.750 0.490
4 Ni 0.250 0.510 0.990
5 Ni 0.490 0.010 0.750
6 Ni 0.510 0.990 0.250
7 Ni 0.750 0.490 0.010
8 Ni 0.990 0.250 0.510
9 H 0.250 0.250 0.250
10 H 0.750 0.750 0.750